# NaNdSnHg

An optimized crystal structure of NaNdSnHg (GGA-PBE, the Alexandria database).

POSCAR file:
```
NaNdSnHg
1.0
-4.8745 -2.1434 0.6229
-2.3814 -2.4839 -4.1111
-0.5969 -5.3274 0.0689
Nd Na Sn Hg
1 1 1 1
Cartesian
0.0000 0.0000 0.0000
-3.9264 -4.9773 -1.7096
-1.9632 -2.4887 -0.8548
-5.8896 -7.4660 -2.5645
```

Computed properties:
energy above the most stable polymorph in this dataset = 0.000 eV per formula unit
total magnetic moment = 0.0 μB per formula unit
calculated total energy = -3.056 eV per atom
formation energy = -44.2 kJ per mole of atoms

=====

# PmSc2Tl

An optimized crystal structure of PmSc2Tl (GGA-PBE, the Alexandria database).

POSCAR file:
```
PmSc2Tl
1.0
-2.9641 -1.5511 -0.9955
0.5057 -2.4973 2.3854
-4.3883 4.6584 5.8073
Tl Sc Pm
1 2 1
Cartesian
-1.2292 -2.0242 0.6950
-0.9787 1.0389 1.2952
-3.4096 3.6195 4.5121
-3.4233 0.3050 3.5986
```

Computed properties:
energy above the most stable polymorph in this dataset = 0.205 eV per formula unit
total magnetic moment = 0.0 μB per formula unit
calculated total energy = -5.079 eV per atom
formation energy = -12.9 kJ per mole of atoms

=====

Number 2 is which compound?
PmSc2Tl